Cr2Cl: relaxed, PBE-GGA.

Computed properties:
E_tot ... -5.77 eV/atom

Cell: 3.633 3.633 4.299 Å, 90.00 90.00 120.00°
Element x y z (fractional)
Cl  0.000  0.000  0.000
Cr  0.333  0.667  0.500
Cr  0.667  0.333  0.500

CrCl: relaxed, PBE-GGA.

Computed properties:
E_tot ... -5.71 eV/atom

Cell: 6.266 7.177 4.000 Å, 73.82 71.39 29.38°
Site moments in Bohr magnetons follow the coordinates.
Element x y z (fractional)
Cl  0.990  0.541  0.734  0.04
Cl  0.927  0.042  0.016  0.04
Cr  0.466  0.542  0.496  4.23
Cr  0.451  0.041  0.254  4.23

Cr2Cl: relaxed, PBE-GGA.

Computed properties:
E_tot ... -6.90 eV/atom

Cell: 8.134 8.134 4.962 Å, 80.77 80.77 21.20°
Site moments in Bohr magnetons follow the coordinates.
Element x y z (fractional)
Cl  0.593  0.593  0.698  0.02
Cl  0.407  0.407  0.302  0.02
Cr  0.196  0.196  0.336  2.58
Cr  0.804  0.804  0.664  2.58
Cr  0.806  0.806  0.117  -2.08
Cr  0.194  0.194  0.883  -2.08

Cr2Cl: relaxed, PBE-GGA.

Computed properties:
E_tot ... -7.14 eV/atom

Cell: 8.800 8.800 4.303 Å, 79.71 79.71 20.09°
Site moments in Bohr magnetons follow the coordinates.
Element x y z (fractional)
Cr  0.057  0.057  0.229  2.40
Cr  0.445  0.445  0.300  -2.42
Cr  0.943  0.943  0.771  2.40
Cr  0.555  0.555  0.700  -2.42
Cl  0.839  0.839  0.197  -0.01
Cl  0.161  0.161  0.803  -0.01

no.,uncorrected formation energy (kJ per mole of atoms)
1,121.9
2,2.1
3,12.5
4,-10.4